CrTeN2F: relaxed, PBE with a Hubbard U.

Geometry as extended XYZ:
```
5
Lattice="4.1110 0.0000 0.0000 0.0000 4.1110 0.0000 0.0000 0.0000 4.2766" Properties=species:S:1:pos:R:3 pbc="T T T"
Cr 0.0000 0.0000 0.0000
Te 2.0555 2.0555 2.1383
N 0.0000 2.0555 2.1383
N 2.0555 0.0000 2.1383
F 2.0555 2.0555 0.0000
```

Output
Space-group type = P4/mmm
Electronic total energy = -5.175 eV per atom